Material: TaCrSn3
Method: DFT, GGA-PBEsol
State: relaxed

Computed properties:
Space-group type: Pm-3m, No. 221
Formation enthalpy at 0 K: 1111 meV per atom
Size of the total moment: 4.35 μB/f.u.
D(E_F): 6.0 states/eV/f.u.
ρ: 8.2 g/cm³
Total energy: -30.014 eV/f.u.

Geometry as extended XYZ:
```
5
Lattice="4.9134 0.0000 0.0000 0.0000 4.9134 0.0000 0.0000 0.0000 4.9134" Properties=species:S:1:pos:R:3 pbc="T T T"
Sn 0.0000 2.4567 0.0000
Cr 0.0000 0.0000 0.0000
Ta 2.4567 2.4567 2.4567
Sn 2.4567 0.0000 0.0000
Sn 0.0000 0.0000 2.4567
```

Material: Cr3TcSn
Method: DFT, GGA-PBEsol
State: relaxed

Computed properties:
Space-group type: Pm-3m, No. 221
Formation enthalpy at 0 K: 2211 meV per atom
Size of the total moment: 8.58 μB/f.u.
D(E_F): 6.2 states/eV/f.u.
ρ: 5.3 g/cm³
Total energy: -35.195 eV/f.u.

Geometry as extended XYZ:
```
5
Lattice="4.8962 0.0000 0.0000 0.0000 4.8962 0.0000 0.0000 0.0000 4.8962" Properties=species:S:1:pos:R:3 pbc="T T T"
Sn 0.0000 0.0000 0.0000
Cr 0.0000 0.0000 2.4481
Cr 2.4481 0.0000 0.0000
Cr 0.0000 2.4481 0.0000
Tc 2.4481 2.4481 2.4481
```

Material: ZrCrTc2Sn
Method: DFT, GGA-PBEsol
State: relaxed

Computed properties:
Space-group type: P4/mmm, No. 123
Formation enthalpy at 0 K: 1837 meV per atom
Size of the total moment: 2.35 μB/f.u.
D(E_F): 5.3 states/eV/f.u.
ρ: 6.6 g/cm³
Total energy: -36.939 eV/f.u.

Geometry as extended XYZ:
```
5
Lattice="-2.1709 1.5407 -3.8228 -3.0271 -3.5283 0.2970 -3.1976 2.9980 3.0241" Properties=species:S:1:pos:R:3 pbc="T T T"
Sn -1.5988 1.4990 1.5121
Cr -4.1978 0.5052 -0.2508
Zr 0.0000 0.0000 0.0000
Tc -1.0854 0.7703 -1.9114
Tc -1.5135 -1.7641 0.1485
```

Question: Which formula does entry 3 have?
Answer: ZrCrTc2Sn

Copy entry 3 word for word.
Material: ZrCrTc2Sn
Method: DFT, GGA-PBEsol
State: relaxed

Computed properties:
Space-group type: P4/mmm, No. 123
Formation enthalpy at 0 K: 1837 meV per atom
Size of the total moment: 2.35 μB/f.u.
D(E_F): 5.3 states/eV/f.u.
ρ: 6.6 g/cm³
Total energy: -36.939 eV/f.u.

Geometry as extended XYZ:
```
5
Lattice="-2.1709 1.5407 -3.8228 -3.0271 -3.5283 0.2970 -3.1976 2.9980 3.0241" Properties=species:S:1:pos:R:3 pbc="T T T"
Sn -1.5988 1.4990 1.5121
Cr -4.1978 0.5052 -0.2508
Zr 0.0000 0.0000 0.0000
Tc -1.0854 0.7703 -1.9114
Tc -1.5135 -1.7641 0.1485
```